(1)
The following is a PBE calculation of crystalline Mg2TiCoI at its relaxed geometry, from the Alexandria database.

Properties
ΔE_f (raw): 77 kJ per mole of atoms

a b c (Å): 4.7464 4.9593 4.7464
angles (deg): 90.00 90.00 90.00
Closest atoms and distances in Å follow each position.
Fractional coordinates of all 5 atoms:
Ti1 0.5000 0.5000 0.5000  4 I 3.36, 8 Mg 3.43
I1 0.0000 0.5000 0.0000  2 Co 2.48
Mg1 0.5000 0.0000 0.0000  2 Co 2.37
Mg2 0.0000 0.0000 0.5000  2 Co 2.37
Co1 0.0000 0.0000 0.0000  4 Mg 2.37, 2 I 2.48

---

(2)
The following is a PBE calculation of crystalline KTaBr2 at its relaxed geometry, from the Alexandria database.

Properties
ΔE_f (raw): 40 kJ per mole of atoms

a b c (Å): 5.0297 5.0297 5.0297
angles (deg): 60.00 60.00 60.00
Closest atoms and distances in Å follow each position.
Fractional coordinates of all 4 atoms:
Br1 0.2500 0.2500 0.2500  4 Ta 3.08, 4 K 3.08
Br2 0.7500 0.7500 0.7500  4 K 3.08, 4 Ta 3.08
K1 0.0000 0.0000 0.0000  8 Br 3.08
Ta1 0.5000 0.5000 0.5000  8 Br 3.08

---

(3)
The following is a PBE calculation of crystalline Sm3Ga at its relaxed geometry, from the Alexandria database.

Properties
Calculated formation energy: -265 meV/atom

a b c (Å): 3.7931 5.3151 6.6723
angles (deg): 113.47 106.51 90.00
Closest atoms and distances in Å follow each position.
Fractional coordinates of all 4 atoms:
Sm1 0.5000 0.4163 0.0000  4 Ga 3.26-3.27, 4 Sm 3.60-3.61
Sm2 0.2901 0.7076 0.5802  2 Ga 3.09, 4 Sm 3.40
Sm3 0.7099 0.1274 0.4198  2 Ga 3.09, 4 Sm 3.40
Ga1 0.0000 0.9154 0.0000  8 Sm 3.09-3.27